## MnV2SbBr (PBE)

Data for crystalline MnV2SbBr at its relaxed geometry.

Structure (POSCAR):
```
MnV2SbBr
1.0
4.6390 0.0000 0.0000
0.0000 4.6390 0.0000
0.0000 0.0000 4.3486
Mn V Sb Br
1 2 1 1
Cartesian
0.0000 0.0000 0.0000
0.0000 2.3195 0.0000
2.3195 0.0000 0.0000
2.3195 2.3195 2.1743
0.0000 0.0000 2.1743
```

Results
Space-group type ... P4/mmm, No. 123
Uncorrected formation energy ... 0.95 eV/atom
Spin magnetization ... 0.00 μB per atom